No. 1
Crystalline PmZrCu2 at its relaxed geometry, computed with GGA-PBE.

The space group is Fm-3m (No. 225) and the conventional cell measures 6.842, 6.842 and 6.842 Å, with angles of 90.00, 90.00 and 90.00 degrees. The inequivalent atoms are Pm at (0.000, 0.000, 0.000), Zr at (0.000, 0.000, 0.500) and Cu at (0.250, 0.250, 0.250).

The calculation puts the calculated total energy at -5.408 eV per atom. The energy of formation is -35 meV/atom. The calculation puts the total magnetization at 0.96 μB per formula unit.



No. 2
Crystalline PmZrCu2 at its relaxed geometry, computed with GGA-PBE.

The space group is R-3m (No. 166, hexagonal axes) and the conventional cell measures 4.5351, 4.5351 and 14.4779 Å, with angles of 90.00, 90.00 and 120.00 degrees. The inequivalent atoms are Pm at (0.0000, 0.0000, 0.0000), Zr at (0.0000, 0.0000, 0.5000) and Cu at (0.0000, 0.0000, 0.2049).

The calculation puts the calculated total energy at -5.422 eV per atom. The energy of formation is -50 meV/atom. The calculation puts the total magnetization at 0.00 μB per formula unit.



No. 3
Crystalline PmZr2Cu6 at its relaxed geometry, computed with GGA-PBE.

The space group is P6/mmm (No. 191) and the conventional cell measures 7.4646, 7.4646 and 3.1091 Å, with angles of 90.00, 90.00 and 120.00 degrees. The inequivalent atoms are Pm at (0.0000, 0.0000, 0.0000), Zr at (0.3333, 0.6667, 0.0000) and Cu at (0.0000, 0.3385, 0.5000).

The calculation puts the calculated total energy at -5.284 eV per atom. The energy of formation is -126 meV/atom. The calculation puts the total magnetization at 0.00 μB per formula unit.



No. 4
Crystalline PmZr2Cu at its relaxed geometry, computed with GGA-PBE.

The space group is R-3m (No. 166, hexagonal axes) and the conventional cell measures 3.1647, 3.1647 and 32.3833 Å, with angles of 90.00, 90.00 and 120.00 degrees. The inequivalent atoms are Pm at (0.0000, 0.0000, 0.0000), Zr at (0.0000, 0.0000, 0.1006) and Cu at (0.0000, 0.0000, 0.5000).

The calculation puts the calculated total energy at -6.143 eV per atom. The energy of formation is 343 meV/atom. The calculation puts the total magnetization at 0.00 μB per formula unit.



No. 5
Crystalline PmZrCu10 at its relaxed geometry, computed with GGA-PBE.

The space group is Pmmm (No. 47) and the conventional cell measures 4.097, 5.001 and 8.646 Å, with angles of 90.00, 90.00 and 90.00 degrees. The inequivalent atoms are Pm at (0.000, 0.000, 0.000), Zr at (0.000, 0.500, 0.500), Cu at (0.000, 0.000, 0.341), Cu at (0.000, 0.500, 0.176), Cu at (0.500, 0.000, 0.500), Cu at (0.500, 0.255, 0.258) and Cu at (0.500, 0.500, 0.000).

The calculation puts the calculated total energy at -4.627 eV per atom. The energy of formation is -106 meV/atom. The calculation puts the total magnetization at 0.00 μB per formula unit.



No. 6
Crystalline Pm2ZrCu at its relaxed geometry, computed with GGA-PBE.

The space group is P4/mmm (No. 123) and the conventional cell measures 3.480, 3.480 and 8.406 Å, with angles of 90.00, 90.00 and 90.00 degrees. The inequivalent atoms are Pm at (0.000, 0.000, 0.220), Zr at (0.500, 0.500, 0.500) and Cu at (0.500, 0.500, 0.000).

The calculation puts the calculated total energy at -5.536 eV per atom. The energy of formation is 1 meV/atom. The calculation puts the total magnetization at 0.00 μB per formula unit.



No. 7
Crystalline PmZrCu2 at its relaxed geometry, computed with GGA-PBE.

The space group is P4/mmm (No. 123) and the conventional cell measures 3.397, 3.397 and 6.938 Å, with angles of 90.00, 90.00 and 90.00 degrees. The inequivalent atoms are Pm at (0.000, 0.000, 0.000), Zr at (0.000, 0.000, 0.500) and Cu at (0.500, 0.500, 0.294).

The calculation puts the calculated total energy at -5.482 eV per atom. The energy of formation is -110 meV/atom. The calculation puts the total magnetization at 0.76 μB per formula unit.



No. 8
Crystalline PmZrCu2 at its relaxed geometry, computed with GGA-PBE.

The space group is P4/mmm (No. 123) and the conventional cell measures 4.849, 4.849 and 3.380 Å, with angles of 90.00, 90.00 and 90.00 degrees. The inequivalent atoms are Pm at (0.000, 0.000, 0.000), Zr at (0.500, 0.500, 0.000) and Cu at (0.000, 0.500, 0.500).

The calculation puts the calculated total energy at -5.428 eV per atom. The energy of formation is -55 meV/atom. The calculation puts the total magnetization at 0.94 μB per formula unit.



No. 9
Crystalline Pr2Cu at its relaxed geometry, computed with GGA-PBE.

The space group is I4/mmm (No. 139) and the conventional cell measures 3.653, 3.653 and 12.658 Å, with angles of 90.00, 90.00 and 90.00 degrees. The inequivalent atoms are Pr at (0.000, 0.000, 0.138) and Cu at (0.000, 0.000, 0.500).

The calculation puts the calculated total energy at -4.609 eV per atom. The energy of formation is -58 meV/atom. The calculation puts the total magnetization at 0.00 μB per formula unit.



No. 10
Crystalline PrCu5 at its relaxed geometry, computed with GGA-PBE.

The space group is Cmmm (No. 65) and the conventional cell measures 4.867, 9.075 and 4.413 Å, with angles of 90.00, 90.00 and 90.00 degrees. The inequivalent atoms are Pr at (0.000, 0.000, 0.000), Cu at (0.000, 0.227, 0.500), Cu at (0.000, 0.339, 0.000) and Cu at (0.000, 0.500, 0.500).

The calculation puts the calculated total energy at -4.153 eV per atom. The energy of formation is 57 meV/atom. The calculation puts the total magnetization at 0.00 μB per formula unit.



No. 11
Crystalline PrCu5 at its relaxed geometry, computed with GGA-PBE.

The space group is P6/mmm (No. 191) and the conventional cell measures 5.1306, 5.1306 and 4.1355 Å, with angles of 90.00, 90.00 and 120.00 degrees. The inequivalent atoms are Pr at (0.0000, 0.0000, 0.0000), Cu at (0.0000, 0.5000, 0.5000) and Cu at (0.3333, 0.6667, 0.0000).

The calculation puts the calculated total energy at -4.361 eV per atom. The energy of formation is -151 meV/atom. The calculation puts the total magnetization at 0.00 μB per formula unit.



No. 12
Crystalline PrCu at its relaxed geometry, computed with GGA-PBE.

The space group is Fm-3m (No. 225) and the conventional cell measures 5.997, 5.997 and 5.997 Å, with angles of 90.00, 90.00 and 90.00 degrees. The inequivalent atoms are Pr at (0.000, 0.000, 0.000) and Cu at (0.000, 0.000, 0.500).

The calculation puts the calculated total energy at -4.355 eV per atom. The energy of formation is 83 meV/atom. The calculation puts the total magnetization at 0.42 μB per formula unit.



No. 13
Crystalline Pr3Cu2 at its relaxed geometry, computed with GGA-PBE.

The space group is Cmmm (No. 65) and the conventional cell measures 4.429, 15.847 and 3.844 Å, with angles of 90.00, 90.00 and 90.00 degrees. The inequivalent atoms are Pr at (0.000, 0.000, 0.000), Pr at (0.000, 0.353, 0.500) and Cu at (0.000, 0.206, 0.000).

The calculation puts the calculated total energy at -4.594 eV per atom. The energy of formation is -88 meV/atom. The calculation puts the total magnetization at 0.00 μB per formula unit.



No. 14
Crystalline Pr6Cu5 at its relaxed geometry, computed with GGA-PBE.

The space group is C2/m (No. 12) and the conventional cell measures 16.049, 7.225 and 5.093 Å, with angles of 90.00, 108.35 and 90.00 degrees. The inequivalent atoms are Pr at (0.000, 0.249, 0.000), Pr at (0.165, 0.250, 0.665), Cu at (0.000, 0.000, 0.500), Cu at (0.168, 0.000, 0.169) and Cu at (0.171, 0.500, 0.172).

The calculation puts the calculated total energy at -4.523 eV per atom. The energy of formation is -54 meV/atom. The calculation puts the total magnetization at 0.00 μB per formula unit.



No. 15
Crystalline Pr2Cu7 at its relaxed geometry, computed with GGA-PBE.

The space group is R-3m (No. 166, hexagonal axes) and the conventional cell measures 5.2430, 5.2430 and 37.6797 Å, with angles of 90.00, 90.00 and 120.00 degrees. The inequivalent atoms are Pr at (0.0000, 0.0000, 0.0507), Pr at (0.0000, 0.0000, 0.1484), Cu at (0.0000, 0.0000, 0.2788), Cu at (0.0000, 0.0000, 0.3871), Cu at (0.0000, 0.0000, 0.5000), Cu at (0.0000, 0.5000, 0.0000) and Cu at (0.0019, 0.5009, 0.1080).

The calculation puts the calculated total energy at -4.377 eV per atom. The energy of formation is -129 meV/atom. The calculation puts the total magnetization at 0.00 μB per formula unit.



No. 16
Crystalline PrCu at its relaxed geometry, computed with GGA-PBE.

The space group is Pnma (No. 62) and the conventional cell measures 7.491, 4.593 and 5.620 Å, with angles of 90.00, 90.00 and 90.00 degrees. The inequivalent atoms are Pr at (0.179, 0.250, 0.119) and Cu at (0.033, 0.250, 0.614).

The calculation puts the calculated total energy at -4.609 eV per atom. The energy of formation is -171 meV/atom. The calculation puts the total magnetization at 0.00 μB per formula unit.



No. 17
Crystalline PrCu4 at its relaxed geometry, computed with GGA-PBE.

The space group is I-43m (No. 217) and the conventional cell measures 8.786, 8.786 and 8.786 Å, with angles of 90.00, 90.00 and 90.00 degrees. The inequivalent atoms are Pr at (0.215, 0.215, 0.215), Cu at (0.000, 0.000, 0.359), Cu at (0.000, 0.250, 0.500) and Cu at (0.100, 0.100, 0.900).

The calculation puts the calculated total energy at -4.322 eV per atom. The energy of formation is -89 meV/atom. The calculation puts the total magnetization at 0.00 μB per formula unit.



No. 18
Crystalline Pr2Cu at its relaxed geometry, computed with GGA-PBE.

The space group is C2/m (No. 12) and the conventional cell measures 12.715, 3.878 and 8.472 Å, with angles of 90.00, 125.63 and 90.00 degrees. The inequivalent atoms are Pr at (0.092, 0.000, 0.380), Pr at (0.161, 0.500, 0.068) and Cu at (0.119, 0.500, 0.668).

The calculation puts the calculated total energy at -4.636 eV per atom. The energy of formation is -84 meV/atom. The calculation puts the total magnetization at 0.00 μB per formula unit.



No. 19
Crystalline Pr5Cu2 at its relaxed geometry, computed with GGA-PBE.

The space group is C2/c (No. 15) and the conventional cell measures 17.377, 6.787 and 7.133 Å, with angles of 90.00, 95.58 and 90.00 degrees. The inequivalent atoms are Pr at (0.000, 0.065, 0.250), Pr at (0.094, 0.394, 0.940), Pr at (0.219, 0.070, 0.295) and Cu at (0.110, 0.195, 0.566).

The calculation puts the calculated total energy at -4.636 eV per atom. The energy of formation is -52 meV/atom. The calculation puts the total magnetization at 0.00 μB per formula unit.



No. 20
Crystalline Pr3Cu4 at its relaxed geometry, computed with GGA-PBE.

The space group is P2_1/m (No. 11) and the conventional cell measures 4.396, 13.512 and 5.596 Å, with angles of 90.00, 113.02 and 90.00 degrees. The inequivalent atoms are Pr at (0.013, 0.250, 0.025), Pr at (0.274, 0.603, 0.549), Cu at (0.000, 0.000, 0.000), Cu at (0.313, 0.250, 0.624) and Cu at (0.437, 0.086, 0.874).

The calculation puts the calculated total energy at -4.535 eV per atom. The energy of formation is -146 meV/atom. The calculation puts the total magnetization at 0.00 μB per formula unit.



No. 21
Crystalline Pr3Cu2 at its relaxed geometry, computed with GGA-PBE.

The space group is I4/mmm (No. 139) and the conventional cell measures 3.629, 3.629 and 19.953 Å, with angles of 90.00, 90.00 and 90.00 degrees. The inequivalent atoms are Pr at (0.000, 0.000, 0.000), Pr at (0.000, 0.000, 0.180) and Cu at (0.000, 0.000, 0.410).

The calculation puts the calculated total energy at -4.596 eV per atom. The energy of formation is -90 meV/atom. The calculation puts the total magnetization at 0.00 μB per formula unit.



No. 22
Crystalline PrCu12 at its relaxed geometry, computed with GGA-PBE.

The space group is I4/mmm (No. 139) and the conventional cell measures 8.551, 8.551 and 4.875 Å, with angles of 90.00, 90.00 and 90.00 degrees. The inequivalent atoms are Pr at (0.000, 0.000, 0.000), Cu at (0.000, 0.229, 0.500), Cu at (0.000, 0.356, 0.000) and Cu at (0.250, 0.250, 0.250).

The calculation puts the calculated total energy at -4.212 eV per atom. The energy of formation is -63 meV/atom. The calculation puts the total magnetization at 0.00 μB per formula unit.



No. 23
Crystalline Pr4Cu at its relaxed geometry, computed with GGA-PBE.

The space group is Pm-3m (No. 221) and the conventional cell measures 5.620, 5.620 and 5.620 Å, with angles of 90.00, 90.00 and 90.00 degrees. The inequivalent atoms are Pr at (0.000, 0.000, 0.000), Pr at (0.000, 0.500, 0.500) and Cu at (0.500, 0.500, 0.500).

The calculation puts the calculated total energy at -4.503 eV per atom. The energy of formation is 139 meV/atom. The calculation puts the total magnetization at 0.00 μB per formula unit.



No. 24
Crystalline Pr5Cu at its relaxed geometry, computed with GGA-PBE.

The space group is Cmmm (No. 65) and the conventional cell measures 4.838, 15.441 and 5.104 Å, with angles of 90.00, 90.00 and 90.00 degrees. The inequivalent atoms are Pr at (0.000, 0.000, 0.000), Pr at (0.000, 0.157, 0.500), Pr at (0.000, 0.333, 0.000) and Cu at (0.000, 0.500, 0.500).

The calculation puts the calculated total energy at -4.533 eV per atom. The energy of formation is 133 meV/atom. The calculation puts the total magnetization at 0.00 μB per formula unit.



No. 25
Crystalline PrCu4 at its relaxed geometry, computed with GGA-PBE.

The space group is Pm-3m (No. 221) and the conventional cell measures 5.181, 5.181 and 5.181 Å, with angles of 90.00, 90.00 and 90.00 degrees. The inequivalent atoms are Pr at (0.000, 0.000, 0.000), Cu at (0.000, 0.000, 0.500) and Cu at (0.500, 0.500, 0.500).

The calculation puts the calculated total energy at -2.759 eV per atom. The energy of formation is 1474 meV/atom. The calculation puts the total magnetization at 0.00 μB per formula unit.